(1)
VASP calculation (GGA-PBE) on a relaxed structure of Zn2AgAs.

a b c (Å): 4.006 4.019 8.538
angles (deg): 90.00 90.00 90.00
Space group Cmm2 (No. 35)
Unique sites:
Zn1 0.000 0.000 0.000 (multiplicity 2)
Zn2 0.000 0.500 0.223 (multiplicity 2)
Ag1 0.000 0.500 0.764 (multiplicity 2)
As1 0.000 0.000 0.485 (multiplicity 2)

Its magnetization is 0.00 μB per formula unit. The energy is -2.386 eV/atom.

(2)
VASP calculation (GGA-PBE) on a relaxed structure of ZnAg2As.

a b c (Å): 4.023 4.142 8.451
angles (deg): 90.00 90.00 90.00
Space group Cmmm (No. 65)
Unique sites:
Zn1 0.000 0.000 0.000 (multiplicity 2)
Ag1 0.000 0.500 0.229 (multiplicity 4)
As1 0.000 0.000 0.500 (multiplicity 2)

Its magnetization is 0.00 μB per formula unit. The value obtained for the excess energy over the best structure of this formula in the dataset is 25 meV/atom. The energy is -2.809 eV/atom.

(3)
VASP calculation (GGA-PBE) on a relaxed structure of ZrAgAs.

a b c (Å): 6.482 6.482 6.482
angles (deg): 90.00 90.00 90.00
Space group F-43m (No. 216)
Unique sites:
Zr1 0.000 0.000 0.000 (multiplicity 4)
Ag1 0.250 0.250 0.250 (multiplicity 4)
As1 0.250 0.250 0.750 (multiplicity 4)

Its magnetization is 0.00 μB per formula unit. The energy is -5.508 eV/atom.

(4)
VASP calculation (GGA-PBE) on a relaxed structure of Zr2AgAs.

a b c (Å): 4.047 4.047 9.648
angles (deg): 90.00 90.00 90.00
Space group I-4m2 (No. 119)
Unique sites:
Zr1 0.000 0.000 0.000 (multiplicity 2)
Zr2 0.000 0.500 0.250 (multiplicity 2)
Ag1 0.000 0.500 0.750 (multiplicity 2)
As1 0.000 0.000 0.500 (multiplicity 2)

Its magnetization is 0.00 μB per formula unit. The energy is -6.471 eV/atom.

(5)
VASP calculation (GGA-PBE) on a relaxed structure of ZrAg3As.

a b c (Å): 4.852 4.852 4.852
angles (deg): 90.00 90.00 90.00
Space group Pm-3m (No. 221)
Unique sites:
Zr1 0.000 0.000 0.000 (multiplicity 1)
Ag1 0.000 0.500 0.500 (multiplicity 3)
As1 0.500 0.500 0.500 (multiplicity 1)

Its magnetization is 0.81 μB per formula unit. The value obtained for the excess energy over the best structure of this formula in the dataset is 0 meV/atom. The energy is -3.719 eV/atom.

(6)
VASP calculation (GGA-PBE) on a relaxed structure of Zr2AgAs.

a b c (Å): 4.126 4.820 7.940
angles (deg): 90.00 90.00 90.00
Space group Immm (No. 71)
Unique sites:
Zr1 0.000 0.000 0.237 (multiplicity 4)
Ag1 0.000 0.500 0.000 (multiplicity 2)
As1 0.000 0.500 0.500 (multiplicity 2)

Its magnetization is 0.00 μB per formula unit. The energy is -6.567 eV/atom.

(7)
VASP calculation (GGA-PBE) on a relaxed structure of ZrAgAs.

a b c (Å): 6.315 6.315 6.315
angles (deg): 90.00 90.00 90.00
Space group F-43m (No. 216)
Unique sites:
Zr1 0.000 0.000 0.000 (multiplicity 4)
Ag1 0.000 0.000 0.500 (multiplicity 4)
As1 0.250 0.250 0.750 (multiplicity 4)

Its magnetization is 0.00 μB per formula unit. The energy is -5.571 eV/atom.

(8)
VASP calculation (GGA-PBE) on a relaxed structure of Zr2AgAs.

a b c (Å): 3.742 3.742 5.835
angles (deg): 90.00 90.00 90.00
Space group P4mm (No. 99)
Unique sites:
Zr1 0.000 0.000 0.000 (multiplicity 1)
Zr2 0.500 0.500 0.308 (multiplicity 1)
Ag1 0.000 0.000 0.516 (multiplicity 1)
As1 0.500 0.500 0.814 (multiplicity 1)

Its magnetization is 0.00 μB per formula unit. The energy is -6.547 eV/atom.